A relaxed ZnIrCl2 crystal, computed with GGA-PBE.

offset from the most stable computed form = 0.000 eV per atom
E_form (uncorrected) = -210 meV/atom

a = 16.015 Å, b = 2.991 Å, c = 4.202 Å
α = 90.00°, β = 104.35°, γ = 90.00°
Space group C2/m (No. 12)
One atom of each set of equivalent atoms:
Zn: 0.000 0.000 0.000
Ir: 0.000 0.500 0.500
Cl: 0.146 0.500 0.638

***

A relaxed Y2FePb crystal, computed with GGA-PBE.

formation energy from the elements = 0.21 eV per atom

a = 7.989 Å, b = 7.989 Å, c = 6.358 Å
α = 90.00°, β = 90.00°, γ = 90.00°
Space group I-42d (No. 122)
One atom of each set of equivalent atoms:
Y: 0.194 0.250 0.125
Fe: 0.000 0.000 0.000
Pb: 0.000 0.000 0.500

***

A relaxed ScHg2Ir crystal, computed with GGA-PBE.

offset from the most stable computed form = 0.049 eV per atom
formation energy from the elements = -0.23 eV per atom

a = 4.169 Å, b = 4.169 Å, c = 8.656 Å
α = 90.00°, β = 90.00°, γ = 90.00°
Space group I4/mmm (No. 139)
One atom of each set of equivalent atoms:
Sc: 0.000 0.000 0.000
Hg: 0.000 0.500 0.250
Ir: 0.000 0.000 0.500

***

A relaxed ZrAlAu crystal, computed with GGA-PBE.

formation energy from the elements = -0.52 eV per atom

a = 3.111 Å, b = 3.111 Å, c = 11.388 Å
α = 90.00°, β = 90.00°, γ = 90.00°
Space group I4mm (No. 107)
One atom of each set of equivalent atoms:
Zr: 0.000 0.000 0.000
Al: 0.000 0.000 0.329
Au: 0.000 0.000 0.687

***

A relaxed VCdAsSe2 crystal, computed with GGA-PBE.

offset from the most stable computed form = 0.000 eV per atom
E_form (uncorrected) = 29 meV/atom

a = 4.788 Å, b = 4.788 Å, c = 4.900 Å
α = 90.00°, β = 90.00°, γ = 90.00°
Space group P4/mmm (No. 123)
One atom of each set of equivalent atoms:
V: 0.000 0.000 0.000
Cd: 0.500 0.500 0.500
As: 0.000 0.000 0.500
Se: 0.000 0.500 0.000

***

A relaxed MgSb2TeN crystal, computed with GGA-PBE.

offset from the most stable computed form = 0.000 eV per atom
E_form (uncorrected) = 473 meV/atom

a = 4.851 Å, b = 4.851 Å, c = 4.688 Å
α = 90.00°, β = 90.00°, γ = 90.00°
Space group P4/mmm (No. 123)
One atom of each set of equivalent atoms:
Mg: 0.000 0.000 0.000
Sb: 0.000 0.500 0.500
Te: 0.500 0.500 0.000
N: 0.500 0.500 0.500

***

| no. | M_tot (μB per formula unit) | DOS at the Fermi energy (states/eV/cell) |
| --- | --- | --- |
| 1 | 0.101 | 8.12 |
| 2 | 1.235 | 20.19 |
| 3 | 0.000 | 2.40 |
| 4 | 0.000 | 3.74 |
| 5 | 0.000 | 2.73 |
| 6 | 0.000 | 3.46 |